Material: AgSnSe2
Method: DFT, PBE-GGA
State: relaxed

**Space group**: R-3m, No. 166
**Theoretical density**: 5.21 Mg/m³
**Electronic total energy**: -14.52 eV per formula unit

abc: 8.3461 8.3461 8.3461
angles: 29.23 29.23 29.23
Fractional coordinates of all 4 atoms:
Ag1 0.0000 0.0000 0.0000
Se1 0.1035 0.1035 0.1035
Se2 0.8965 0.8965 0.8965
Sn1 0.5000 0.5000 0.5000